(1)
Entry from Alexandria: an optimized crystal structure of Na2LiMgHg6 (PBE).

Cell and atoms, written as CIF:
```
data_Na2LiMgHg6
_chemical_formula_sum 'Na2 Li1 Mg1 Hg6'
_cell_length_a 6.2207
_cell_length_b 6.2211
_cell_length_c 9.5344
_cell_angle_alpha 108.48
_cell_angle_beta 90.55
_cell_angle_gamma 119.96
_space_group_name_H-M_alt 'P -1'
_space_group_IT_number 2
_space_group_name_Hall '-P 1'
loop_
_atom_site_label
_atom_site_fract_x
_atom_site_fract_y
_atom_site_fract_z
_atom_site_occupancy
Na1 0.2017 0.3953 0.0960 1
Li1 0.5000 0.0000 0.0000 1
Mg1 0.0000 0.0000 0.5000 1
Hg1 0.2472 0.5112 0.7551 1
Hg2 0.2490 0.0132 0.7650 1
Hg3 0.2578 0.9924 0.2458 1
```

Properties
N(E_F) = 0.290 states/eV/atom
formation energy from the elements = -0.113 eV per atom

***

(2)
Entry from Alexandria: an optimized crystal structure of Ca2TlTc (PBE).

Cell and atoms, written as CIF:
```
data_Ca2TlTc
_chemical_formula_sum 'Ca6 Tl3 Tc3'
_cell_length_a 3.5302
_cell_length_b 3.5302
_cell_length_c 30.2566
_cell_angle_alpha 90.00
_cell_angle_beta 90.00
_cell_angle_gamma 120.00
_space_group_name_H-M_alt 'R 3 m'
_space_group_IT_number 160
_space_group_name_Hall 'R 3 -2"'
loop_
_atom_site_label
_atom_site_fract_x
_atom_site_fract_y
_atom_site_fract_z
_atom_site_occupancy
Ca1 0.0000 0.0000 0.0000 1
Ca2 0.0000 0.0000 0.2211 1
Tl1 0.0000 0.0000 0.7527 1
Tc1 0.0000 0.0000 0.4841 1
```

Properties
N(E_F) = 0.813 states/eV/atom
formation energy from the elements = 0.493 eV per atom
energy above the lowest structure with this stoichiometry = 0.1966 eV per atom

***

(3)
Entry from Alexandria: an optimized crystal structure of V3ZnMo (PBE).

Cell and atoms, written as CIF:
```
data_V3ZnMo
_chemical_formula_sum 'V12 Zn4 Mo4'
_cell_length_a 2.5910
_cell_length_b 12.4513
_cell_length_c 9.1345
_cell_angle_alpha 90.00
_cell_angle_beta 106.19
_cell_angle_gamma 90.00
_space_group_name_H-M_alt 'P 1 21/c 1'
_space_group_IT_number 14
_space_group_name_Hall '-P 2ybc'
loop_
_atom_site_label
_atom_site_fract_x
_atom_site_fract_y
_atom_site_fract_z
_atom_site_occupancy
V1 0.0245 0.0509 0.3808 1
V2 0.1770 0.1456 0.1423 1
V3 0.2956 0.7461 0.1120 1
Zn1 0.3537 0.0553 0.8821 1
Mo1 0.3533 0.6503 0.8665 1
```

Properties
N(E_F) = 1.145 states/eV/atom
formation energy from the elements = 0.035 eV per atom
energy above the lowest structure with this stoichiometry = 0.0000 eV per atom

***

(4)
Entry from Alexandria: an optimized crystal structure of Ba7H2Au2 (PBE).

Cell and atoms, written as CIF:
```
data_Ba7H2Au2
_chemical_formula_sum 'Ba14 H4 Au4'
_cell_length_a 4.3003
_cell_length_b 18.7903
_cell_length_c 11.2144
_cell_angle_alpha 90.00
_cell_angle_beta 90.00
_cell_angle_gamma 90.00
_space_group_name_H-M_alt 'I m m 2'
_space_group_IT_number 44
_space_group_name_Hall 'I 2 -2'
loop_
_atom_site_label
_atom_site_fract_x
_atom_site_fract_y
_atom_site_fract_z
_atom_site_occupancy
Ba1 0.0000 0.0000 0.0000 1
Ba2 0.0000 0.1044 0.3840 1
Ba3 0.0000 0.3127 0.5621 1
Ba4 0.0000 0.3810 0.2345 1
H1 0.0000 0.1374 0.9280 1
Au1 0.0000 0.0000 0.6279 1
Au2 0.0000 0.5000 0.7227 1
```

Properties
N(E_F) = 0.794 states/eV/atom
energy above the lowest structure with this stoichiometry = 0.0000 eV per atom

***

(5)
Entry from Alexandria: an optimized crystal structure of BiPd3 (PBE).

Cell and atoms, written as CIF:
```
data_BiPd3
_chemical_formula_sum 'Bi1 Pd3'
_cell_length_a 4.1405
_cell_length_b 4.1405
_cell_length_c 4.1405
_cell_angle_alpha 90.00
_cell_angle_beta 90.00
_cell_angle_gamma 90.00
_space_group_name_H-M_alt 'P m -3 m'
_space_group_IT_number 221
_space_group_name_Hall '-P 4 2 3'
loop_
_atom_site_label
_atom_site_fract_x
_atom_site_fract_y
_atom_site_fract_z
_atom_site_occupancy
Bi1 0.0000 0.0000 0.0000 1
Pd1 0.0000 0.5000 0.5000 1
```

Properties
N(E_F) = 0.756 states/eV/atom
formation energy from the elements = -0.227 eV per atom

***

(6)
Entry from Alexandria: an optimized crystal structure of Hg5Br3F12 (PBE).

Cell and atoms, written as CIF:
```
data_Hg5Br3F12
_chemical_formula_sum 'Hg40 Br24 F96'
_cell_length_a 14.8354
_cell_length_b 14.8354
_cell_length_c 14.8354
_cell_angle_alpha 90.00
_cell_angle_beta 90.00
_cell_angle_gamma 90.00
_space_group_name_H-M_alt 'I a -3 d'
_space_group_IT_number 230
_space_group_name_Hall '-I 4bd 2c 3'
loop_
_atom_site_label
_atom_site_fract_x
_atom_site_fract_y
_atom_site_fract_z
_atom_site_occupancy
Hg1 0.0000 0.0000 0.0000 1
Hg2 0.0000 0.2500 0.3750 1
Br1 0.0000 0.2500 0.1250 1
F1 0.0142 0.0391 0.8461 1
```

Properties
N(E_F) = 0.330 states/eV/atom
total energy = -0.1717 Ry per atom

***

(7)
Entry from Alexandria: an optimized crystal structure of DyScCdGe (PBE).

Cell and atoms, written as CIF:
```
data_DyScCdGe
_chemical_formula_sum 'Dy4 Sc4 Cd4 Ge4'
_cell_length_a 7.0773
_cell_length_b 7.0773
_cell_length_c 7.0773
_cell_angle_alpha 90.00
_cell_angle_beta 90.00
_cell_angle_gamma 90.00
_space_group_name_H-M_alt 'F -4 3 m'
_space_group_IT_number 216
_space_group_name_Hall 'F -4 2 3'
loop_
_atom_site_label
_atom_site_fract_x
_atom_site_fract_y
_atom_site_fract_z
_atom_site_occupancy
Dy1 0.0000 0.0000 0.0000 1
Sc1 0.0000 0.0000 0.5000 1
Cd1 0.2500 0.2500 0.7500 1
Ge1 0.2500 0.2500 0.2500 1
```

Properties
N(E_F) = 0.651 states/eV/atom
formation energy from the elements = -0.444 eV per atom

***

(8)
Entry from Alexandria: an optimized crystal structure of RbAgBSe3 (PBE).

Cell and atoms, written as CIF:
```
data_RbAgBSe3
_chemical_formula_sum 'Rb4 Ag4 B4 Se12'
_cell_length_a 13.5833
_cell_length_b 6.3494
_cell_length_c 9.3770
_cell_angle_alpha 90.00
_cell_angle_beta 118.64
_cell_angle_gamma 90.00
_space_group_name_H-M_alt 'C 1 2/m 1'
_space_group_IT_number 12
_space_group_name_Hall '-C 2y'
loop_
_atom_site_label
_atom_site_fract_x
_atom_site_fract_y
_atom_site_fract_z
_atom_site_occupancy
Rb1 0.2050 0.0000 0.2005 1
Ag1 0.0000 0.2308 0.5000 1
B1 0.0785 0.5000 0.2708 1
Se1 0.0330 0.2600 0.7870 1
Se2 0.2337 0.5000 0.3439 1
```

Properties
N(E_F) = 0.370 states/eV/atom
total energy = -0.2806 Ry per atom

***

(9)
Entry from Alexandria: an optimized crystal structure of Sr3Cd9Pt2 (PBE).

Cell and atoms, written as CIF:
```
data_Sr3Cd9Pt2
_chemical_formula_sum 'Sr6 Cd18 Pt4'
_cell_length_a 4.7791
_cell_length_b 10.6740
_cell_length_c 13.8662
_cell_angle_alpha 90.00
_cell_angle_beta 90.00
_cell_angle_gamma 90.00
_space_group_name_H-M_alt 'I m m m'
_space_group_IT_number 71
_space_group_name_Hall '-I 2 2'
loop_
_atom_site_label
_atom_site_fract_x
_atom_site_fract_y
_atom_site_fract_z
_atom_site_occupancy
Sr1 0.0000 0.0000 0.0000 1
Sr2 0.0000 0.0000 0.3197 1
Cd1 0.0000 0.2791 0.1204 1
Cd2 0.0000 0.3617 0.3327 1
Cd3 0.0000 0.5000 0.0000 1
Pt1 0.0000 0.2039 0.5000 1
```

Properties
N(E_F) = 0.470 states/eV/atom
formation energy from the elements = -0.358 eV per atom

***

(10)
Entry from Alexandria: an optimized crystal structure of KCoBr2Cl (PBE).

Cell and atoms, written as CIF:
```
data_KCoBr2Cl
_chemical_formula_sum 'K1 Co1 Br2 Cl1'
_cell_length_a 5.3037
_cell_length_b 5.3037
_cell_length_c 4.6823
_cell_angle_alpha 90.00
_cell_angle_beta 90.00
_cell_angle_gamma 90.00
_space_group_name_H-M_alt 'P 4/m m m'
_space_group_IT_number 123
_space_group_name_Hall '-P 4 2'
loop_
_atom_site_label
_atom_site_fract_x
_atom_site_fract_y
_atom_site_fract_z
_atom_site_occupancy
K1 0.0000 0.0000 0.0000 1
Co1 0.5000 0.5000 0.5000 1
Br1 0.0000 0.5000 0.5000 1
Cl1 0.5000 0.5000 0.0000 1
```

Properties
N(E_F) = 1.420 states/eV/atom
total energy = -0.2588 Ry per atom

***

(11)
Entry from Alexandria: an optimized crystal structure of HoAg8Pd2 (PBE).

Cell and atoms, written as CIF:
```
data_HoAg8Pd2
_chemical_formula_sum 'Ho2 Ag16 Pd4'
_cell_length_a 12.6401
_cell_length_b 7.7562
_cell_length_c 4.8391
_cell_angle_alpha 90.00
_cell_angle_beta 102.64
_cell_angle_gamma 90.00
_space_group_name_H-M_alt 'C 1 2/m 1'
_space_group_IT_number 12
_space_group_name_Hall '-C 2y'
loop_
_atom_site_label
_atom_site_fract_x
_atom_site_fract_y
_atom_site_fract_z
_atom_site_occupancy
Ho1 0.0000 0.0000 0.0000 1
Ag1 0.0684 0.3191 0.7704 1
Ag2 0.1461 0.5000 0.3095 1
Ag3 0.2351 0.0000 0.1223 1
Pd1 0.1181 0.0000 0.5577 1
```

Properties
N(E_F) = 0.312 states/eV/atom
formation energy from the elements = 0.102 eV per atom

***

(12)
Entry from Alexandria: an optimized crystal structure of AcPa2Si2N6 (PBE).

Cell and atoms, written as CIF:
```
data_AcPa2Si2N6
_chemical_formula_sum 'Ac1 Pa2 Si2 N6'
_cell_length_a 6.1346
_cell_length_b 6.1346
_cell_length_c 5.9388
_cell_angle_alpha 90.00
_cell_angle_beta 90.00
_cell_angle_gamma 120.00
_space_group_name_H-M_alt 'P -3'
_space_group_IT_number 147
_space_group_name_Hall '-P 3'
loop_
_atom_site_label
_atom_site_fract_x
_atom_site_fract_y
_atom_site_fract_z
_atom_site_occupancy
Ac1 0.0000 0.0000 0.0000 1
Pa1 0.3333 0.6667 0.8649 1
Si1 0.3333 0.6667 0.3363 1
N1 0.0604 0.4163 0.1979 1
```

Properties
N(E_F) = 0.496 states/eV/atom
total energy = -0.6286 Ry per atom

***

(13)
Entry from Alexandria: an optimized crystal structure of Sr4TcRh (PBE).

Cell and atoms, written as CIF:
```
data_Sr4TcRh
_chemical_formula_sum 'Sr16 Tc4 Rh4'
_cell_length_a 9.2217
_cell_length_b 9.2217
_cell_length_c 9.2217
_cell_angle_alpha 90.00
_cell_angle_beta 90.00
_cell_angle_gamma 90.00
_space_group_name_H-M_alt 'F -4 3 m'
_space_group_IT_number 216
_space_group_name_Hall 'F -4 2 3'
loop_
_atom_site_label
_atom_site_fract_x
_atom_site_fract_y
_atom_site_fract_z
_atom_site_occupancy
Sr1 0.1250 0.1250 0.1250 1
Tc1 0.2500 0.2500 0.7500 1
Rh1 0.0000 0.0000 0.5000 1
```

Properties
N(E_F) = 1.259 states/eV/atom
formation energy from the elements = 1.333 eV per atom

***

(14)
Entry from Alexandria: an optimized crystal structure of NdY2HgN (PBE).

Cell and atoms, written as CIF:
```
data_NdY2HgN
_chemical_formula_sum 'Nd1 Y2 Hg1 N1'
_cell_length_a 4.8213
_cell_length_b 4.8213
_cell_length_c 5.0188
_cell_angle_alpha 90.00
_cell_angle_beta 90.00
_cell_angle_gamma 90.00
_space_group_name_H-M_alt 'P 4/m m m'
_space_group_IT_number 123
_space_group_name_Hall '-P 4 2'
loop_
_atom_site_label
_atom_site_fract_x
_atom_site_fract_y
_atom_site_fract_z
_atom_site_occupancy
Nd1 0.0000 0.0000 0.0000 1
Y1 0.0000 0.5000 0.5000 1
Hg1 0.5000 0.5000 0.0000 1
N1 0.0000 0.0000 0.5000 1
```

Properties
N(E_F) = 0.781 states/eV/atom
total energy = -0.4509 Ry per atom

***

(15)
Entry from Alexandria: an optimized crystal structure of TmGe2Se4 (PBE).

Cell and atoms, written as CIF:
```
data_TmGe2Se4
_chemical_formula_sum 'Tm2 Ge4 Se8'
_cell_length_a 7.6020
_cell_length_b 7.6020
_cell_length_c 6.8524
_cell_angle_alpha 90.00
_cell_angle_beta 90.00
_cell_angle_gamma 90.00
_space_group_name_H-M_alt 'I 4/m'
_space_group_IT_number 87
_space_group_name_Hall '-I 4'
loop_
_atom_site_label
_atom_site_fract_x
_atom_site_fract_y
_atom_site_fract_z
_atom_site_occupancy
Tm1 0.0000 0.0000 0.0000 1
Ge1 0.0000 0.5000 0.2500 1
Se1 0.1871 0.3104 0.5000 1
```

Properties
N(E_F) = 0.371 states/eV/atom
total energy = -0.3263 Ry per atom

***

(16)
Entry from Alexandria: an optimized crystal structure of Sm5Er3Cd2 (PBE).

Cell and atoms, written as CIF:
```
data_Sm5Er3Cd2
_chemical_formula_sum 'Sm20 Er12 Cd8'
_cell_length_a 13.3112
_cell_length_b 14.7540
_cell_length_c 6.6401
_cell_angle_alpha 90.00
_cell_angle_beta 90.00
_cell_angle_gamma 90.00
_space_group_name_H-M_alt 'I b a m'
_space_group_IT_number 72
_space_group_name_Hall '-I 2 2c'
loop_
_atom_site_label
_atom_site_fract_x
_atom_site_fract_y
_atom_site_fract_z
_atom_site_occupancy
Sm1 0.0000 0.0000 0.2500 1
Sm2 0.1051 0.1729 0.0000 1
Sm3 0.2429 0.0000 0.2500 1
Er1 0.0000 0.5000 0.2500 1
Er2 0.1288 0.2893 0.5000 1
Cd1 0.1255 0.3664 0.0000 1
```

Properties
N(E_F) = 1.279 states/eV/atom
formation energy from the elements = 0.201 eV per atom

***

(17)
Entry from Alexandria: an optimized crystal structure of TlZnS2 (PBE).

Cell and atoms, written as CIF:
```
data_TlZnS2
_chemical_formula_sum 'Tl3 Zn3 S6'
_cell_length_a 4.0177
_cell_length_b 4.0177
_cell_length_c 22.0536
_cell_angle_alpha 90.00
_cell_angle_beta 90.00
_cell_angle_gamma 120.00
_space_group_name_H-M_alt 'R 3 m'
_space_group_IT_number 160
_space_group_name_Hall 'R 3 -2"'
loop_
_atom_site_label
_atom_site_fract_x
_atom_site_fract_y
_atom_site_fract_z
_atom_site_occupancy
Tl1 0.0000 0.0000 0.0000 1
Zn1 0.0000 0.0000 0.4962 1
S1 0.0000 0.0000 0.1322 1
S2 0.0000 0.0000 0.6028 1
```

Properties
N(E_F) = 0.663 states/eV/atom
total energy = -0.2440 Ry per atom

***

(18)
Entry from Alexandria: an optimized crystal structure of Cs2AcZnF6 (PBE).

Cell and atoms, written as CIF:
```
data_Cs2AcZnF6
_chemical_formula_sum 'Cs4 Ac2 Zn2 F12'
_cell_length_a 6.8623
_cell_length_b 9.2130
_cell_length_c 7.7255
_cell_angle_alpha 90.00
_cell_angle_beta 90.00
_cell_angle_gamma 90.00
_space_group_name_H-M_alt 'P m m n'
_space_group_IT_number 59
loop_
_space_group_symop_operation_xyz
'x,y,z'
'-x,-y,-z'
'-x+1/2,-y+1/2,z'
'x+1/2,y+1/2,-z'
'x+1/2,-y,-z'
'-x+1/2,y,z'
'-x,y+1/2,-z'
'x,-y+1/2,z'
loop_
_atom_site_label
_atom_site_fract_x
_atom_site_fract_y
_atom_site_fract_z
_atom_site_occupancy
Cs1 0.2500 0.0135 0.1476 1
Ac1 0.2500 0.2500 0.6608 1
Zn1 0.2500 0.7500 0.7230 1
F1 0.0059 0.2500 0.4295 1
F2 0.0128 0.2500 0.8868 1
F3 0.2500 0.5057 0.7235 1
```

Properties
N(E_F) = 0.210 states/eV/atom
total energy = -0.3488 Ry per atom

***

(19)
Entry from Alexandria: an optimized crystal structure of PuSnTe2 (PBE).

Cell and atoms, written as CIF:
```
data_PuSnTe2
_chemical_formula_sum 'Pu3 Sn3 Te6'
_cell_length_a 4.3406
_cell_length_b 4.3406
_cell_length_c 23.9651
_cell_angle_alpha 90.00
_cell_angle_beta 90.00
_cell_angle_gamma 120.00
_space_group_name_H-M_alt 'R 3 m'
_space_group_IT_number 160
_space_group_name_Hall 'R 3 -2"'
loop_
_atom_site_label
_atom_site_fract_x
_atom_site_fract_y
_atom_site_fract_z
_atom_site_occupancy
Pu1 0.0000 0.0000 0.0000 1
Sn1 0.0000 0.0000 0.1657 1
Te1 0.0000 0.0000 0.5852 1
Te2 0.0000 0.0000 0.7506 1
```

Properties
N(E_F) = 3.052 states/eV/atom
total energy = -0.4940 Ry per atom